TlCu2PbF8: relaxed, GGA-PBE.

Cell lengths 6.846, 6.846, 6.846 Å; angles 131.63, 131.63, 70.82 degrees
Sites, in units of the cell vectors:
Tl 0.000 0.000 0.000
Cu 0.250 0.750 0.500
Cu 0.500 0.500 0.000
Pb 0.750 0.250 0.500
F 0.032 0.686 0.071
F 0.039 0.968 0.654
F 0.156 0.266 0.545
F 0.314 0.386 0.346
F 0.390 0.844 0.111
F 0.614 0.961 0.929
F 0.721 0.610 0.455
F 0.734 0.279 0.889

Properties
- Energy relative to the elements, uncorrected: -40.75 kcal/mol of atoms
- Final energy: -50.44 eV per cell